First-principles (GGA-PBE) data for a relaxed CaPmGeCl crystal, as listed in the Alexandria database.

a b c (Å): 5.1862 5.1862 5.1862
angles (deg): 60.00 60.00 60.00
Closest atoms and distances in Å follow each position.
Fractional positions:
Ge 0.2500 0.2500 0.2500  4 Pm 3.18, 4 Ca 3.18
Cl 0.7500 0.7500 0.7500  4 Ca 3.18, 4 Pm 3.18
Ca 0.0000 0.0000 0.0000  4 Ge 3.18, 4 Cl 3.18
Pm 0.5000 0.5000 0.5000  4 Cl 3.18, 4 Ge 3.18

The calculated density is 4.94 g/cm³. The uncorrected formation energy is -1031 meV/atom. As for the calculated volume: 98.6 Å³/cell. The space-group type is No. 216.

First-principles (GGA-PBE) data for a relaxed Tb2MnZnC crystal, as listed in the Alexandria database.

a b c (Å): 3.7492 5.0065 5.0065
angles (deg): 90.00 90.00 90.00
Closest atoms and distances in Å follow each position.
Fractional positions:
Tb 0.0000 0.0000 0.5000  2 C 2.50
Tb 0.0000 0.5000 0.0000  2 C 2.50
Mn 0.5000 0.0000 0.0000  2 C 1.87
Zn 0.5000 0.5000 0.5000  8 Tb 3.13
C 0.0000 0.0000 0.0000  2 Mn 1.87

The calculated density is 7.96 g/cm³. The formation energy comes out at -0.263 eV/atom. As for the calculated volume: 94.0 Å³/cell. The space-group type is No. 123.

First-principles (GGA-PBE) data for a relaxed KUS3I crystal, as listed in the Alexandria database.

a b c (Å): 6.7722 7.3090 12.6670
angles (deg): 73.23 79.93 52.71
Closest atoms and distances in Å follow each position.
Fractional positions:
K 0.2500 0.1455 0.7091  4 S 3.18-3.39
K 0.7500 0.8545 0.2909  4 S 3.18-3.39
U 0.7500 0.0450 0.9100  5 S 2.44-2.62
U 0.2500 0.9550 0.0900  5 S 2.44-2.62
S 0.5696 0.8184 0.9285  2 U 2.53-2.62
S 0.9304 0.2532 0.9285  2 U 2.53-2.62
S 0.7500 0.1456 0.7088  1 U 2.44
S 0.4304 0.1816 0.0715  2 U 2.53-2.62
S 0.0696 0.7468 0.0715  2 U 2.53-2.62
S 0.2500 0.8544 0.2912  1 U 2.44
I 0.2500 0.5978 0.8045  4 S 3.34-3.63, 2 U 3.39
I 0.7500 0.4022 0.1955  4 S 3.34-3.63, 2 U 3.39

The calculated density is 3.48 g/cm³. The uncorrected formation energy is -997 meV/atom. As for the calculated volume: 477.6 Å³/cell. The space-group type is No. 15.

First-principles (GGA-PBE) data for a relaxed YTmSc2In4 crystal, as listed in the Alexandria database.

a b c (Å): 5.1653 5.1653 8.9613
angles (deg): 73.25 73.25 60.00
Closest atoms and distances in Å follow each position.
Fractional positions:
Y 0.0000 0.0000 0.0000  8 In 3.17-3.18
Tm 0.5000 0.5000 0.5000  8 In 3.15-3.16
Sc 0.7503 0.7503 0.7492  8 In 3.15-3.19
Sc 0.2497 0.2497 0.2508  8 In 3.15-3.19
In 0.3757 0.3757 0.8728  1 Tm 3.15, 4 Sc 3.16-3.19, 3 Y 3.17
In 0.8744 0.8744 0.3769  4 Sc 3.15-3.17, 3 Tm 3.16, 1 Y 3.18
In 0.1256 0.1256 0.6231  4 Sc 3.15-3.17, 3 Tm 3.16, 1 Y 3.18
In 0.6243 0.6243 0.1272  1 Tm 3.15, 4 Sc 3.16-3.19, 3 Y 3.17

The calculated density is 6.86 g/cm³. The formation energy comes out at -0.425 eV/atom. As for the calculated volume: 195.3 Å³/cell. The space-group type is No. 166.

First-principles (GGA-PBE) data for a relaxed BaMgTl2 crystal, as listed in the Alexandria database.

a b c (Å): 4.0740 4.0764 7.9839
angles (deg): 90.00 90.00 90.00
Closest atoms and distances in Å follow each position.
Fractional positions:
Ba 0.0000 0.0000 0.4951  6 Tl 3.67-4.10, 4 Mg 3.84, 4 Ba 4.07-4.08
Mg 0.5000 0.5000 0.8129  5 Tl 3.17-3.18
Tl 0.0000 0.0000 0.9819  4 Mg 3.18, 4 Tl 3.41
Tl 0.5000 0.5000 0.2101  1 Mg 3.17, 4 Tl 3.41

The calculated density is 7.14 g/cm³. The formation energy comes out at -0.158 eV/atom. As for the calculated volume: 132.6 Å³/cell. The space-group type is No. 99.

First-principles (GGA-PBE) data for a relaxed TlGeF crystal, as listed in the Alexandria database.

a b c (Å): 4.0886 4.0886 12.6247
angles (deg): 65.10 65.10 60.47
Closest atoms and distances in Å follow each position.
Fractional positions:
Ge 0.1686 0.1686 0.6852  3 Ge 2.45-2.46
Ge 0.5550 0.5550 0.6251  3 Ge 2.45-2.46
Tl 0.5844 0.5844 0.2950  3 F 2.50-2.51
Tl 0.1839 0.1839 0.0108  3 F 2.50
F 0.1845 0.1845 0.3692  3 Tl 2.50-2.51
F 0.5831 0.5831 0.9369  3 Tl 2.50

The calculated density is 6.13 g/cm³. The uncorrected formation energy is -927 meV/atom. As for the calculated volume: 160.4 Å³/cell. The space-group type is No. 8.

First-principles (GGA-PBE) data for a relaxed HoScS3 crystal, as listed in the Alexandria database.

a b c (Å): 3.7204 7.8221 14.0212
angles (deg): 90.00 90.00 90.00
Closest atoms and distances in Å follow each position.
Fractional positions:
Ho 0.7500 0.8639 0.7967  7 S 2.77-2.94
Ho 0.2500 0.1361 0.2033  7 S 2.77-2.94
Ho 0.7500 0.3639 0.7033  7 S 2.77-2.94
Ho 0.2500 0.6361 0.2967  7 S 2.77-2.94
Sc 0.2500 0.3030 0.9620  6 S 2.57-2.63
Sc 0.2500 0.8030 0.5380  6 S 2.57-2.63
Sc 0.7500 0.1970 0.4620  6 S 2.57-2.63
Sc 0.7500 0.6970 0.0380  6 S 2.57-2.63
S 0.2500 0.3469 0.5571  2 Sc 2.57, 2 Ho 2.77
S 0.7500 0.8453 0.2061  1 Sc 2.63, 4 Ho 2.78-2.94
S 0.7500 0.4897 0.8907  3 Sc 2.57-2.63, 1 Ho 2.81
S 0.7500 0.9897 0.6093  3 Sc 2.57-2.63, 1 Ho 2.81
S 0.7500 0.6531 0.4429  2 Sc 2.57, 2 Ho 2.77
S 0.2500 0.0103 0.3907  3 Sc 2.57-2.63, 1 Ho 2.81
S 0.2500 0.8469 0.9429  2 Sc 2.57, 2 Ho 2.77
S 0.7500 0.3453 0.2939  1 Sc 2.63, 4 Ho 2.78-2.94
S 0.2500 0.6547 0.7061  1 Sc 2.63, 4 Ho 2.78-2.94
S 0.2500 0.1547 0.7939  1 Sc 2.63, 4 Ho 2.78-2.94
S 0.7500 0.1531 0.0571  2 Sc 2.57, 2 Ho 2.77
S 0.2500 0.5103 0.1093  3 Sc 2.57-2.63, 1 Ho 2.81

The calculated density is 4.98 g/cm³. The uncorrected formation energy is -1945 meV/atom. As for the calculated volume: 408.0 Å³/cell. The space-group type is No. 62.

First-principles (GGA-PBE) data for a relaxed MgNi crystal, as listed in the Alexandria database.

a b c (Å): 4.3377 4.3377 4.9821
angles (deg): 90.00 90.00 120.00
Closest atoms and distances in Å follow each position.
Fractional positions:
Mg 0.3333 0.6667 0.2500  5 Ni 2.49-2.50
Mg 0.6667 0.3333 0.7500  5 Ni 2.49-2.50
Ni 0.3333 0.6667 0.7500  5 Mg 2.49-2.50
Ni 0.6667 0.3333 0.2500  5 Mg 2.49-2.50

The calculated density is 3.40 g/cm³. The formation energy comes out at 0.625 eV/atom. As for the calculated volume: 81.2 Å³/cell. The space-group type is No. 194.

First-principles (GGA-PBE) data for a relaxed Pm2PrHo crystal, as listed in the Alexandria database.

a b c (Å): 5.1501 5.1319 5.1319
angles (deg): 90.00 90.00 90.00
Closest atoms and distances in Å follow each position.
Fractional positions:
Pr 0.5000 0.5000 0.5000  4 Ho 3.63, 8 Pm 3.64
Ho 0.5000 0.0000 0.0000  4 Pr 3.63, 8 Pm 3.64
Pm 0.0000 0.0000 0.5000  4 Pm 3.63, 4 Pr 3.64, 4 Ho 3.64
Pm 0.0000 0.5000 0.0000  4 Pm 3.63, 4 Pr 3.64, 4 Ho 3.64

The calculated density is 7.29 g/cm³. The formation energy comes out at 0.017 eV/atom. As for the calculated volume: 135.6 Å³/cell. The space-group type is No. 123.

First-principles (GGA-PBE) data for a relaxed Mn2TlRu crystal, as listed in the Alexandria database.

a b c (Å): 4.3386 4.3386 4.3386
angles (deg): 60.00 60.00 60.00
Closest atoms and distances in Å follow each position.
Fractional positions:
Ru 0.0000 0.0000 0.0000  8 Mn 2.66
Tl 0.5000 0.5000 0.5000  8 Mn 2.66
Mn 0.2500 0.2500 0.2500  4 Tl 2.66, 4 Ru 2.66
Mn 0.7500 0.7500 0.7500  4 Tl 2.66, 4 Ru 2.66

The calculated density is 11.94 g/cm³. The formation energy comes out at 0.828 eV/atom. As for the calculated volume: 57.7 Å³/cell. The space-group type is No. 225.

First-principles (GGA-PBE) data for a relaxed Sr2Ga3Au2 crystal, as listed in the Alexandria database.

a b c (Å): 4.4896 6.2471 6.8940
angles (deg): 100.82 90.00 111.06
Closest atoms and distances in Å follow each position.
Fractional positions:
Sr 0.8264 0.6527 0.2651  5 Ga 3.25-3.59, 5 Au 3.34-3.62
Sr 0.1736 0.3473 0.7349  5 Ga 3.25-3.59, 5 Au 3.34-3.62
Ga 0.5000 0.0000 0.0000  2 Ga 2.60, 4 Au 2.77
Ga 0.5702 0.1404 0.3829  2 Ga 2.52-2.60, 2 Au 2.64
Ga 0.4298 0.8596 0.6171  2 Ga 2.52-2.60, 2 Au 2.64
Au 0.8973 0.7945 0.8009  4 Ga 2.64-2.77
Au 0.1027 0.2055 0.1991  4 Ga 2.64-2.77

The calculated density is 7.31 g/cm³. The formation energy comes out at -0.537 eV/atom. As for the calculated volume: 176.7 Å³/cell. The space-group type is No. 12.

First-principles (GGA-PBE) data for a relaxed ScHRh3 crystal, as listed in the Alexandria database.

a b c (Å): 5.0788 5.0788 5.3733
angles (deg): 90.00 90.00 105.29
Closest atoms and distances in Å follow each position.
Fractional positions:
Sc 0.4260 0.5740 0.2500  1 H 2.21
Sc 0.5740 0.4260 0.7500  1 H 2.21
H 0.1526 0.8474 0.2500  4 Rh 1.82-1.87
H 0.8474 0.1526 0.7500  4 Rh 1.82-1.87
Rh 0.5047 0.0801 0.2500  1 H 1.87
Rh 0.9199 0.4953 0.2500  1 H 1.87
Rh 0.0801 0.5047 0.7500  1 H 1.87
Rh 0.4953 0.9199 0.7500  1 H 1.87
Rh 0.0000 0.0000 0.0000  2 H 1.82
Rh 0.0000 0.0000 0.5000  2 H 1.82

The calculated density is 8.81 g/cm³. As for the calculated volume: 133.7 Å³/cell. The space-group type is No. 63. The electronic total energy comes out at -65.86 eV per cell.